Record 1
Below is a geometry-optimized TcP2Ru2 structure, with properties calculated at the PBE level.

Results
Space-group type: P4/mbm
DFT total energy, eV for the cell shown: -81.61
Mass density, g cm⁻³: 9.1

a b c (Å): 6.866 6.866 2.793
angles (deg): 90.00 90.00 90.00
Fractional positions:
1 Tc 0.000 0.000 0.000
2 Tc 0.500 0.500 0.000
3 P 0.157 0.343 0.000
4 P 0.343 0.843 0.000
5 P 0.657 0.157 0.000
6 P 0.843 0.657 0.000
7 Ru 0.147 0.647 0.500
8 Ru 0.353 0.147 0.500
9 Ru 0.647 0.853 0.500
10 Ru 0.853 0.353 0.500

---

Record 2
Below is a geometry-optimized TcPRu2 structure, with properties calculated at the PBE level.

Results
Space-group type: R3m
DFT total energy, eV for the cell shown: -103.44
Mass density, g cm⁻³: 10.1

a b c (Å): 2.788 2.788 24.349
angles (deg): 90.00 90.00 120.00
Fractional positions:
1 Tc 0.000 0.000 0.000
2 Tc 0.333 0.667 0.667
3 Tc 0.667 0.333 0.333
4 P 0.000 0.000 0.745
5 P 0.333 0.667 0.412
6 P 0.667 0.333 0.079
7 Ru 0.000 0.000 0.244
8 Ru 0.000 0.000 0.486
9 Ru 0.333 0.667 0.153
10 Ru 0.333 0.667 0.911
11 Ru 0.667 0.333 0.578
12 Ru 0.667 0.333 0.819

---

Record 3
Below is a geometry-optimized Tc3P4Ru2 structure, with properties calculated at the PBE level.

Results
Space-group type: P2/m
DFT total energy, eV for the cell shown: -150.78
Mass density, g cm⁻³: 8.0

a b c (Å): 5.970 3.234 13.435
angles (deg): 90.00 94.38 90.00
Fractional positions:
1 Tc 0.000 0.000 0.000
2 Tc 0.210 0.000 0.803
3 Tc 0.215 0.500 0.303
4 Tc 0.500 0.500 0.500
5 Tc 0.785 0.500 0.697
6 Tc 0.790 0.000 0.197
7 P 0.174 0.000 0.170
8 P 0.233 0.000 0.433
9 P 0.249 0.500 0.931
10 P 0.376 0.500 0.683
11 P 0.624 0.500 0.317
12 P 0.751 0.500 0.069
13 P 0.767 0.000 0.567
14 P 0.826 0.000 0.830
15 Ru 0.150 0.000 0.595
16 Ru 0.379 0.500 0.097
17 Ru 0.621 0.500 0.903
18 Ru 0.850 0.000 0.405

---

Record 4
Below is a geometry-optimized TcPRu2 structure, with properties calculated at the PBE level.

Results
Space-group type: P4mm
DFT total energy, eV for the cell shown: -35.15
Mass density, g cm⁻³: 10.3

a b c (Å): 2.849 2.849 6.596
angles (deg): 90.00 90.00 90.00
Fractional positions:
1 Tc 0.000 0.000 0.000
2 P 0.500 0.500 0.229
3 Ru 0.000 0.000 0.433
4 Ru 0.500 0.500 0.732

---

Record 5
Below is a geometry-optimized TcPRu2 structure, with properties calculated at the PBE level.

Results
Space-group type: Amm2
DFT total energy, eV for the cell shown: -69.93
Mass density, g cm⁻³: 10.0

a b c (Å): 3.749 2.821 10.410
angles (deg): 90.00 90.00 90.00
Fractional positions:
1 Tc 0.000 0.000 0.000
2 Tc 0.000 0.500 0.500
3 P 0.500 0.000 0.843
4 P 0.500 0.500 0.343
5 Ru 0.000 0.000 0.272
6 Ru 0.000 0.500 0.772
7 Ru 0.500 0.000 0.619
8 Ru 0.500 0.500 0.119

---

Record 6
Below is a geometry-optimized TcPRu2 structure, with properties calculated at the PBE level.

Results
Space-group type: P4/mmm
DFT total energy, eV for the cell shown: -35.21
Mass density, g cm⁻³: 10.3

a b c (Å): 2.826 2.826 6.693
angles (deg): 90.00 90.00 90.00
Fractional positions:
1 Tc 0.000 0.000 0.000
2 P 0.000 0.000 0.500
3 Ru 0.500 0.500 0.286
4 Ru 0.500 0.500 0.714

---

Record 7
Below is a geometry-optimized TcPRu2 structure, with properties calculated at the PBE level.

Results
Space-group type: Pmm2
DFT total energy, eV for the cell shown: -34.06
Mass density, g cm⁻³: 9.8

a b c (Å): 2.818 3.754 5.291
angles (deg): 90.00 90.00 90.00
Fractional positions:
1 Tc 0.000 0.000 0.000
2 P 0.500 0.500 0.323
3 Ru 0.000 0.000 0.474
4 Ru 0.500 0.500 0.804

---

Record 8
Below is a geometry-optimized TcP4Ru structure, with properties calculated at the PBE level.

Results
Space-group type: F-43m
DFT total energy, eV for the cell shown: -36.54
Mass density, g cm⁻³: 6.6

a b c (Å): 4.867 4.867 4.867
angles (deg): 60.00 60.00 60.00
Fractional positions:
1 Tc 0.000 0.000 0.000
2 P 0.375 0.375 0.375
3 P 0.375 0.375 0.875
4 P 0.375 0.875 0.375
5 P 0.875 0.375 0.375
6 Ru 0.750 0.750 0.750